[1]
A relaxed structure of CsTi4I7. Source: Alexandria via LeMat-Bulk, functional PBE.

Summary:
Raw total energy   -4.19 eV/atom

a b c (Å): 5.2002 22.0121 7.5977
angles (deg): 90.00 90.00 90.00
Last column: nearest neighbours and their distance in Å.
Fractional coordinates of all 24 atoms:
Cs  0.2500  0.2500  0.2411  6 I 3.85-3.86
Cs  0.7500  0.7500  0.7589  6 I 3.85-3.86
Ti  0.2500  0.0000  0.9003  3 Ti 2.78-3.01, 5 I 2.83-2.95
Ti  0.2500  0.5000  0.9003  3 Ti 2.78-3.01, 5 I 2.83-2.95
Ti  0.2500  0.6079  0.0916  4 I 2.75-2.83, 1 Ti 2.78
Ti  0.2500  0.8921  0.0916  4 I 2.75-2.83, 1 Ti 2.78
Ti  0.7500  0.0000  0.0997  3 Ti 2.78-3.01, 5 I 2.83-2.95
Ti  0.7500  0.1079  0.9084  4 I 2.75-2.83, 1 Ti 2.78
Ti  0.7500  0.3921  0.9084  4 I 2.75-2.83, 1 Ti 2.78
Ti  0.7500  0.5000  0.0997  3 Ti 2.78-3.01, 5 I 2.83-2.95
I  0.2500  0.0014  0.2728  4 Ti 2.77-2.91
I  0.2500  0.1225  0.7688  3 Ti 2.83-2.88
I  0.2500  0.3775  0.7688  3 Ti 2.83-2.88
I  0.2500  0.4986  0.2728  4 Ti 2.77-2.91
I  0.2500  0.6206  0.7316  2 Ti 2.75-2.95
I  0.2500  0.7500  0.1332  2 Ti 3.14
I  0.2500  0.8794  0.7316  2 Ti 2.75-2.95
I  0.7500  0.1206  0.2684  2 Ti 2.75-2.95
I  0.7500  0.2500  0.8668  2 Ti 3.14
I  0.7500  0.3794  0.2684  2 Ti 2.75-2.95
I  0.7500  0.5014  0.7272  4 Ti 2.77-2.91
I  0.7500  0.6225  0.2312  3 Ti 2.83-2.88
I  0.7500  0.8775  0.2312  3 Ti 2.83-2.88
I  0.7500  0.9986  0.7272  4 Ti 2.77-2.91

[2]
A relaxed structure of CsTiI3. Source: Alexandria via LeMat-Bulk, functional PBE.

Summary:
Raw total energy   -3.54 eV/atom

a b c (Å): 11.5409 11.5409 10.2208
angles (deg): 90.98 90.98 21.33
Last column: nearest neighbours and their distance in Å.
Fractional coordinates of all 10 atoms:
Cs  0.1321  0.1321  0.3899  6 I 3.77-3.96
Cs  0.8679  0.8679  0.6101  6 I 3.77-3.96
Ti  0.3928  0.3928  0.1683  5 I 2.77-2.93
Ti  0.6072  0.6072  0.8317  5 I 2.77-2.93
I  0.0365  0.0365  0.7109  2 Ti 2.93
I  0.1388  0.1388  0.0087  2 Ti 2.88
I  0.3006  0.3006  0.3429  1 Ti 2.77
I  0.6994  0.6994  0.6571  1 Ti 2.77
I  0.8612  0.8612  0.9913  2 Ti 2.88
I  0.9635  0.9635  0.2891  2 Ti 2.93

[3]
A relaxed structure of Cs4TiI5. Source: Alexandria via LeMat-Bulk, functional PBE.

Summary:
Raw total energy   -3.01 eV/atom

a b c (Å): 9.1131 9.1131 9.1131
angles (deg): 100.35 100.35 129.83
Last column: nearest neighbours and their distance in Å.
Fractional coordinates of all 10 atoms:
Cs  0.0889  0.6997  0.7885  5 I 3.70-3.92
Cs  0.3003  0.0889  0.3892  5 I 3.70-3.92
Cs  0.6997  0.9111  0.6108  5 I 3.70-3.92
Cs  0.9111  0.3003  0.2115  5 I 3.70-3.92
Ti  0.4488  0.4488  0.0000  5 I 2.93-3.06
I  0.0702  0.0702  0.0000  1 Ti 2.93
I  0.2535  0.4158  0.6705  1 Ti 3.06
I  0.4158  0.7453  0.1623  1 Ti 3.06
I  0.5830  0.2535  0.8377  1 Ti 3.06
I  0.7453  0.5830  0.3295  1 Ti 3.06

[4]
A relaxed structure of Cs3Ti2I9. Source: Alexandria via LeMat-Bulk, functional PBE.

Summary:
Raw total energy   -3.42 eV/atom

a b c (Å): 10.9147 10.9147 10.9147
angles (deg): 81.76 81.76 81.76
Last column: nearest neighbours and their distance in Å.
Fractional coordinates of all 28 atoms:
Cs  0.0902  0.7500  0.4098  10 I 4.06-4.32
Cs  0.2500  0.5902  0.9098  10 I 4.06-4.32
Cs  0.4098  0.0902  0.7500  10 I 4.06-4.32
Cs  0.5902  0.9098  0.2500  10 I 4.06-4.32
Cs  0.7500  0.4098  0.0902  10 I 4.06-4.32
Cs  0.9098  0.2500  0.5902  10 I 4.06-4.32
Ti  0.1699  0.1699  0.1699  6 I 2.78-2.86
Ti  0.3301  0.3301  0.3301  6 I 2.78-2.86
Ti  0.6699  0.6699  0.6699  6 I 2.78-2.86
Ti  0.8301  0.8301  0.8301  6 I 2.78-2.86
I  0.0639  0.9019  0.7375  1 Ti 2.78
I  0.0896  0.4104  0.2500  2 Ti 2.86
I  0.0981  0.2625  0.9361  1 Ti 2.78
I  0.2375  0.4019  0.5639  1 Ti 2.78
I  0.2500  0.0896  0.4104  2 Ti 2.86
I  0.2625  0.9361  0.0981  1 Ti 2.78
I  0.4019  0.5639  0.2375  1 Ti 2.78
I  0.4104  0.2500  0.0896  2 Ti 2.86
I  0.4361  0.7625  0.5981  1 Ti 2.78
I  0.5639  0.2375  0.4019  1 Ti 2.78
I  0.5896  0.7500  0.9104  2 Ti 2.86
I  0.5981  0.4361  0.7625  1 Ti 2.78
I  0.7375  0.0639  0.9019  1 Ti 2.78
I  0.7500  0.9104  0.5896  2 Ti 2.86
I  0.7625  0.5981  0.4361  1 Ti 2.78
I  0.9019  0.7375  0.0639  1 Ti 2.78
I  0.9104  0.5896  0.7500  2 Ti 2.86
I  0.9361  0.0981  0.2625  1 Ti 2.78

[5]
A relaxed structure of Cs3TiI6. Source: Alexandria via LeMat-Bulk, functional PBE.

Summary:
Raw total energy   -3.16 eV/atom
Excess energy over the best structure of this formula in the dataset   0.33 eV/f.u.

a b c (Å): 9.1054 9.1054 9.1054
angles (deg): 60.00 60.00 60.00
Last column: nearest neighbours and their distance in Å.
Fractional coordinates of all 10 atoms:
Cs  0.0000  0.0000  0.0000  6 I 3.62
Cs  0.2500  0.2500  0.2500  12 I 4.57
Cs  0.7500  0.7500  0.7500  12 I 4.57
Ti  0.5000  0.5000  0.5000  6 I 2.82
I  0.2809  0.2809  0.7191  1 Ti 2.82
I  0.2809  0.7191  0.2809  1 Ti 2.82
I  0.2809  0.7191  0.7191  1 Ti 2.82
I  0.7191  0.2809  0.2809  1 Ti 2.82
I  0.7191  0.2809  0.7191  1 Ti 2.82
I  0.7191  0.7191  0.2809  1 Ti 2.82

[6]
A relaxed structure of Cs3TiI6. Source: Alexandria via LeMat-Bulk, functional PBE.

Summary:
Raw total energy   -3.19 eV/atom
Excess energy over the best structure of this formula in the dataset   0.00 eV/f.u.

a b c (Å): 8.8247 9.2892 15.3473
angles (deg): 90.00 124.15 90.00
Last column: nearest neighbours and their distance in Å.
Fractional coordinates of all 20 atoms:
Cs  0.0000  0.0000  0.0000  6 I 3.77-3.83
Cs  0.0000  0.5000  0.5000  6 I 3.77-3.83
Cs  0.2817  0.0763  0.7559  6 I 3.89-4.12
Cs  0.2817  0.4237  0.2559  6 I 3.89-4.12
Cs  0.7183  0.5763  0.7441  6 I 3.89-4.12
Cs  0.7183  0.9237  0.2441  6 I 3.89-4.12
Ti  0.5000  0.0000  0.5000  6 I 2.84-2.86
Ti  0.5000  0.5000  0.0000  6 I 2.84-2.86
I  0.1898  0.0252  0.2894  1 Ti 2.84
I  0.1898  0.4748  0.7894  1 Ti 2.84
I  0.2868  0.6646  0.0500  1 Ti 2.84
I  0.2868  0.8354  0.5500  1 Ti 2.84
I  0.3961  0.2408  0.0541  1 Ti 2.86
I  0.3961  0.2592  0.5541  1 Ti 2.86
I  0.6039  0.7408  0.4459  1 Ti 2.86
I  0.6039  0.7592  0.9459  1 Ti 2.86
I  0.7132  0.1646  0.4500  1 Ti 2.84
I  0.7132  0.3354  0.9500  1 Ti 2.84
I  0.8102  0.5252  0.2106  1 Ti 2.84
I  0.8102  0.9748  0.7106  1 Ti 2.84

[7]
A relaxed structure of CsTiI3. Source: Alexandria via LeMat-Bulk, functional PBE.

Summary:
Raw total energy   -3.71 eV/atom

a b c (Å): 8.3313 8.3313 6.9208
angles (deg): 90.00 90.00 120.00
Last column: nearest neighbours and their distance in Å.
Fractional coordinates of all 10 atoms:
Cs  0.3333  0.6667  0.2500  12 I 4.17-4.26
Cs  0.6667  0.3333  0.7500  12 I 4.17-4.26
Ti  0.0000  0.0000  0.0000  6 I 2.90
Ti  0.0000  0.0000  0.5000  6 I 2.90
I  0.1609  0.3218  0.7500  2 Ti 2.90
I  0.1609  0.8391  0.7500  2 Ti 2.90
I  0.3218  0.1609  0.2500  2 Ti 2.90
I  0.6782  0.8391  0.7500  2 Ti 2.90
I  0.8391  0.1609  0.2500  2 Ti 2.90
I  0.8391  0.6782  0.2500  2 Ti 2.90

[8]
A relaxed structure of Cs3TiI. Source: Alexandria via LeMat-Bulk, functional PBE.

Summary:
Raw total energy   -2.19 eV/atom

a b c (Å): 7.3474 7.3474 7.3474
angles (deg): 90.00 90.00 90.00
Last column: nearest neighbours and their distance in Å.
Fractional coordinates of all 5 atoms:
Cs  0.0000  0.0000  0.5000  2 I 3.67
Cs  0.0000  0.5000  0.0000  2 I 3.67
Cs  0.5000  0.0000  0.0000  2 I 3.67
Ti  0.5000  0.5000  0.5000  12 Cs 5.20
I  0.0000  0.0000  0.0000  6 Cs 3.67

[9]
A relaxed structure of Cs2TiI5. Source: Alexandria via LeMat-Bulk, functional PBE.

Summary:
Raw total energy   -3.31 eV/atom

a b c (Å): 8.1980 8.1979 8.8535
angles (deg): 57.32 57.32 65.36
Last column: nearest neighbours and their distance in Å.
Fractional coordinates of all 8 atoms:
Cs  0.0000  0.0000  0.5000  10 I 4.09-4.46
Cs  0.5000  0.5000  0.0000  10 I 4.09-4.46
Ti  0.1931  0.1931  0.8069  5 I 2.60-2.80
I  0.0311  0.4682  0.9689  1 Ti 2.80
I  0.0370  0.4712  0.5288  1 Ti 2.79
I  0.4682  0.0311  0.5318  1 Ti 2.80
I  0.4712  0.0370  0.9630  1 Ti 2.79
I  0.9470  0.9470  0.0530  1 Ti 2.60

[10]
A relaxed structure of Cs5Ti2I12. Source: Alexandria via LeMat-Bulk, functional PBE.

Summary:
Raw total energy   -3.13 eV/atom

a b c (Å): 11.3686 11.3686 12.7259
angles (deg): 106.25 106.25 43.91
Last column: nearest neighbours and their distance in Å.
Fractional coordinates of all 19 atoms:
Cs  0.0000  0.0000  0.0000  4 I 3.77
Cs  0.3096  0.3096  0.1274  7 I 3.80-4.23
Cs  0.3099  0.3099  0.6579  7 I 3.69-4.08
Cs  0.6901  0.6901  0.3421  7 I 3.69-4.08
Cs  0.6904  0.6904  0.8726  7 I 3.80-4.23
Ti  0.2422  0.7578  0.5000  6 I 2.73-2.91
Ti  0.7578  0.2422  0.5000  6 I 2.73-2.91
I  0.0020  0.0020  0.3468  2 Ti 2.84
I  0.0932  0.5972  0.9048  4 Cs 3.69-3.80
I  0.1120  0.6161  0.4276  1 Ti 2.73
I  0.3839  0.8880  0.5724  1 Ti 2.73
I  0.4028  0.9068  0.0952  4 Cs 3.69-3.80
I  0.4989  0.4989  0.6493  2 Ti 2.91
I  0.5011  0.5011  0.3507  2 Ti 2.91
I  0.5972  0.0932  0.9048  4 Cs 3.69-3.80
I  0.6161  0.1120  0.4276  1 Ti 2.73
I  0.8880  0.3839  0.5724  1 Ti 2.73
I  0.9068  0.4028  0.0952  4 Cs 3.69-3.80
I  0.9980  0.9980  0.6532  2 Ti 2.84

[11]
A relaxed structure of Cs2TiI. Source: Alexandria via LeMat-Bulk, functional PBE.

Summary:
Raw total energy   -2.50 eV/atom
Excess energy over the best structure of this formula in the dataset   0.18 eV/f.u.

a b c (Å): 8.8915 8.8915 8.8915
angles (deg): 107.12 107.12 114.28
Last column: nearest neighbours and their distance in Å.
Fractional coordinates of all 8 atoms:
Cs  0.0953  0.1250  0.4703  2 I 3.72, 2 Ti 4.14
Cs  0.3750  0.9047  0.0297  2 I 3.72, 2 Ti 4.14
Cs  0.6547  0.6250  0.5297  2 I 3.72, 2 Ti 4.14
Cs  0.8750  0.3453  0.9703  2 I 3.72, 2 Ti 4.14
Ti  0.2500  0.7500  0.5000  4 Cs 4.14
Ti  0.5000  0.5000  0.0000  4 Cs 4.14
I  0.0000  0.0000  0.0000  4 Cs 3.72
I  0.7500  0.2500  0.5000  4 Cs 3.72

[12]
A relaxed structure of Cs2TiI. Source: Alexandria via LeMat-Bulk, functional PBE.

Summary:
Raw total energy   -2.54 eV/atom
Excess energy over the best structure of this formula in the dataset   0.00 eV/f.u.

a b c (Å): 6.7792 6.7792 6.7792
angles (deg): 60.00 60.00 60.00
Last column: nearest neighbours and their distance in Å.
Fractional coordinates of all 4 atoms:
Cs  0.2500  0.2500  0.2500  4 I 4.15, 4 Ti 4.15
Cs  0.7500  0.7500  0.7500  4 I 4.15, 4 Ti 4.15
Ti  0.0000  0.0000  0.0000  8 Cs 4.15
I  0.5000  0.5000  0.5000  8 Cs 4.15

no.,DOS(E_F) (states/eV/atom),uncorrected formation energy (eV per atom)
1,0.6709,-0.584
2,0.4965,-0.858
3,0.7303,-1.100
4,0.6498,-1.111
5,1.3976,-1.181
6,0.6817,-1.214
7,1.3896,-1.029
8,1.2247,0.211
9,0.4349,-1.146
10,0.5127,-1.098
11,1.4593,0.292
12,0.0000,0.246